A relaxed structure of NaCrO2, computed with GGA+U.

```
NaCrO2
1.0
-3.6199 1.0103 -4.2159
-5.3078 -0.0867 -1.9281
-4.4770 2.8452 -1.9389
O Na Cr
2 1 1
direct
0.7326 0.7326 0.7326
0.2674 0.2674 0.2674
0.5000 0.5000 0.5000
0.0000 0.0000 0.0000
```

DOS(E_F) = 0.0 states/eV/f.u.
Space-group type = R-3m, No. 166
Calculated total energy = -0.486 Ry per atom
Distance to the lowest polymorph of the same formula = 0 meV per atom